<i>
Computed, not measured: a geometry-optimized Al2Co2Cu structure at the PBE level of DFT.

Unit cell a=6.699 b=6.699 c=2.786 alpha=90.00 beta=90.00 gamma=90.00
Element x y z (fractional)
Al1 0.161 0.339 0.000
Al2 0.339 0.839 0.000
Al3 0.661 0.161 0.000
Al4 0.839 0.661 0.000
Co1 0.136 0.636 0.500
Co2 0.364 0.136 0.500
Co3 0.636 0.864 0.500
Co4 0.864 0.364 0.500
Cu1 0.000 0.000 0.500
Cu2 0.500 0.500 0.500

Total magnetic moment (μB per formula unit): 0.000
SG: No. 127

---

<ii>
Computed, not measured: a geometry-optimized Al2Co2Cu structure at the PBE level of DFT.

Unit cell a=6.732 b=6.732 c=2.750 alpha=90.00 beta=90.00 gamma=90.00
Element x y z (fractional)
Al1 0.142 0.358 0.000
Al2 0.358 0.858 0.000
Al3 0.642 0.142 0.000
Al4 0.858 0.642 0.000
Co1 0.155 0.655 0.500
Co2 0.345 0.155 0.500
Co3 0.655 0.845 0.500
Co4 0.845 0.345 0.500
Cu1 0.000 0.000 0.000
Cu2 0.500 0.500 0.000

Total magnetic moment (μB per formula unit): 0.000
SG: No. 127

---

<iii>
Computed, not measured: a geometry-optimized Al2Co2Cu structure at the PBE level of DFT.

Unit cell a=5.915 b=5.915 c=5.915 alpha=144.30 beta=144.30 gamma=51.38
Element x y z (fractional)
Al1 0.250 0.750 0.500
Al2 0.750 0.250 0.500
Co1 0.102 0.102 0.000
Co2 0.898 0.898 0.000
Cu1 0.500 0.500 0.000

Total magnetic moment (μB per formula unit): 1.236
SG: No. 139

---

<i> has the most favorable energy; the next structure is 10 meV per atom above.

---

<i>
Computed, not measured: a geometry-optimized Al6CoCu3 structure at the PBE level of DFT.

Unit cell a=4.112 b=4.112 c=9.947 alpha=90.00 beta=90.00 gamma=120.00
Element x y z (fractional)
Al1 0.000 0.000 0.000
Al2 0.000 0.000 0.467
Al3 0.333 0.667 0.183
Al4 0.333 0.667 0.667
Al5 0.667 0.333 0.324
Al6 0.667 0.333 0.818
Co1 0.333 0.667 0.425
Cu1 0.333 0.667 0.921
Cu2 0.667 0.333 0.071
Cu3 0.667 0.333 0.571

Total magnetic moment (μB per formula unit): 0.000
SG: No. 156

---

<ii>
Computed, not measured: a geometry-optimized Al6CoCu3 structure at the PBE level of DFT.

Unit cell a=7.117 b=9.952 c=4.075 alpha=90.00 beta=90.00 gamma=90.00
Element x y z (fractional)
Al1 0.008 0.246 0.000
Al2 0.154 0.075 0.500
Al3 0.191 0.389 0.500
Al4 0.309 0.889 0.000
Al5 0.346 0.575 0.000
Al6 0.492 0.746 0.500
Al7 0.508 0.254 0.500
Al8 0.654 0.425 0.000
Al9 0.691 0.111 0.000
Al10 0.809 0.611 0.500
Al11 0.846 0.925 0.500
Al12 0.992 0.754 0.000
Co1 0.000 0.000 0.000
Co2 0.500 0.500 0.500
Cu1 0.000 0.500 0.000
Cu2 0.163 0.640 0.500
Cu3 0.337 0.140 0.000
Cu4 0.500 0.000 0.500
Cu5 0.663 0.860 0.000
Cu6 0.837 0.360 0.500

Total magnetic moment (μB per formula unit): 0.000
SG: No. 58

---

<i> has the most favorable energy; the next structure is 66 meV per atom above.